1.
Computed, not measured: a relaxed LiDy6In2 crystal at the PBE-GGA level of DFT.

The space group is C2/m (No. 12) and the conventional cell measures 16.213, 7.362 and 5.086 Å, with angles of 90.00, 108.22 and 90.00 degrees. The distinct sites, in fractional coordinates, are Li at (0.000, 0.000, 0.000), Dy at (0.000, 0.246, 0.500), Dy at (0.164, 0.246, 0.165) and In at (0.167, 0.500, 0.667).

Its density of states at the Fermi level is 1.4131 states/eV/atom. Its energy relative to the elements is 1.071 eV per formula unit.

2.
Computed, not measured: a relaxed ScCd2Pt crystal at the PBE-GGA level of DFT.

The space group is I4/mmm (No. 139) and the conventional cell measures 4.292, 4.292 and 8.267 Å, with angles of 90.00, 90.00 and 90.00 degrees. The distinct sites, in fractional coordinates, are Sc at (0.000, 0.000, 0.000), Cd at (0.000, 0.500, 0.250) and Pt at (0.000, 0.000, 0.500).

Its density of states at the Fermi level is 0.6573 states/eV/atom. Its energy relative to the elements is -1.862 eV per formula unit.

3.
Computed, not measured: a relaxed Ac2SiO crystal at the PBE-GGA level of DFT.

The space group is P3_121 (No. 152) and the conventional cell measures 7.2356, 7.2356 and 8.1570 Å, with angles of 90.00, 90.00 and 120.00 degrees. The distinct sites, in fractional coordinates, are Ac at (0.1007, 0.4078, 0.3881), Si at (0.0000, 0.6438, 0.6667) and O at (0.0000, 0.5771, 0.1667).

The formation energy (no corrections) is -6.4 eV per formula unit. Its density of states at the Fermi level is 0.0006 states/eV/atom. For the energy above the most stable polymorph in this dataset, the calculation gives 0.24 eV/f.u.

4.
Computed, not measured: a relaxed PmTh2Ga2 crystal at the PBE-GGA level of DFT.

The space group is P4/mbm (No. 127) and the conventional cell measures 7.887, 7.887 and 4.394 Å, with angles of 90.00, 90.00 and 90.00 degrees. The distinct sites, in fractional coordinates, are Pm at (0.000, 0.000, 0.000), Th at (0.174, 0.326, 0.500) and Ga at (0.119, 0.619, 0.000).

Its density of states at the Fermi level is 1.1087 states/eV/atom. For the energy above the most stable polymorph in this dataset, the calculation gives 0.00 eV/f.u. Its energy relative to the elements is -2.090 eV per formula unit.

5.
Computed, not measured: a relaxed Zr2WSe crystal at the PBE-GGA level of DFT.

The space group is Cmmm (No. 65) and the conventional cell measures 3.647, 5.125 and 8.390 Å, with angles of 90.00, 90.00 and 90.00 degrees. The distinct sites, in fractional coordinates, are Zr at (0.000, 0.000, 0.246), W at (0.000, 0.500, 0.500) and Se at (0.000, 0.500, 0.000).

The formation energy (no corrections) is -1.2 eV per formula unit. Its density of states at the Fermi level is 0.7373 states/eV/atom.

6.
Computed, not measured: a relaxed Ca5Bi2Te2 crystal at the PBE-GGA level of DFT.

The space group is Cmce (No. 64) and the conventional cell measures 15.622, 8.676 and 8.739 Å, with angles of 90.00, 90.00 and 90.00 degrees. The distinct sites, in fractional coordinates, are Ca at (0.000, 0.000, 0.000), Ca at (0.130, 0.155, 0.351), Bi at (0.000, 0.153, 0.654) and Te at (0.204, 0.000, 0.000).

The formation energy (no corrections) is -10.6 eV per formula unit.

| no. | DFT total energy (eV per atom) |
| --- | --- |
| 1 | -3.770 |
| 2 | -4.016 |
| 3 | -6.262 |
| 4 | -5.547 |
| 5 | -8.673 |
| 6 | -3.856 |